{
  "formula": "BaCuTe2",
  "functional": "PBE",
  "state": "relaxed",
  "formation_energy_uncorrected_ev_per_atom": -0.5539,
  "sg": "No. 166",
  "e_tot_ev_per_cell": -14.5,
  "magmom_total_mub_per_cell": 0.001,
  "lattice_angstrom": [[1.455, 8.403, -0.517], [-0.557, 7.303, 4.399], [4.671, 6.332, 3.329]],
  "species": ["Te", "Te", "Ba", "Cu"],
  "fractional_positions": [[0.101, 0.101, 0.101], [0.899, 0.899, 0.899], [0.500, 0.500, 0.500], [0.000, 0.000, 0.000]]
}